A plane-wave DFT calculation with PBE was carried out for Ac4RuPbI2 after structural relaxation.

The structure in CIF format:
```
data_Ac4RuPbI2
_symmetry_space_group_name_H-M 'P 1'
_symmetry_Int_Tables_number 1
_symmetry_space_group_name_Hall 'P 1'
_cell_length_a 8.2837
_cell_length_b 4.5545
_cell_length_c 8.8406
_cell_angle_alpha 90.00
_cell_angle_beta 107.42
_cell_angle_gamma 90.00
loop_
_atom_site_label
_atom_site_type_symbol
_atom_site_fract_x
_atom_site_fract_y
_atom_site_fract_z
_atom_site_occupancy
Ac1 Ac 0.2096 0.0000 0.1916 1
Ac2 Ac 0.2233 0.5000 0.8080 1
Ac3 Ac 0.7767 0.5000 0.1920 1
Ac4 Ac 0.7904 0.0000 0.8084 1
Ru1 Ru 0.0000 0.5000 0.0000 1
Pb1 Pb 0.5000 0.0000 0.0000 1
I1 I 0.0000 0.0000 0.5000 1
I2 I 0.5000 0.5000 0.5000 1
```

Final energy = -38.570 eV/cell
Energy relative to the elements, uncorrected = -757 meV per atom
Space group = No. 10
Total moment = 0.00 Bohr magnetons per cell